(1)
CoRuPt2: relaxed, PBE.

Output
formation enthalpy at 0 K	3	kJ/mol of atoms
energy above the lowest structure with this stoichiometry	0.024	eV per atom
calculated total energy	-7.089	eV/atom

The structure in CIF format:
```
data_CoRuPt2
_chemical_formula_sum 'Co2 Ru2 Pt4'
_symmetry_space_group_name_H-M 'I -4 m 2'
_symmetry_Int_Tables_number 119
_symmetry_space_group_name_Hall 'I -4 -2'
_cell_length_a 3.8438
_cell_length_b 3.8438
_cell_length_c 7.6424
_cell_angle_alpha 90.00
_cell_angle_beta 90.00
_cell_angle_gamma 90.00
loop_
_atom_site_label
_atom_site_type_symbol
_atom_site_fract_x
_atom_site_fract_y
_atom_site_fract_z
Co1 Co 0.0000 0.0000 0.0000
Ru1 Ru 0.0000 0.5000 0.7500
Pt1 Pt 0.0000 0.0000 0.5000
Pt2 Pt 0.0000 0.5000 0.2500
```

(2)
LiCa2Pd: relaxed, PBE.

Output
formation enthalpy at 0 K	-32	kJ/mol of atoms
calculated total energy	-3.112	eV/atom

The structure in CIF format:
```
data_LiCa2Pd
_chemical_formula_sum 'Li2 Ca4 Pd2'
_symmetry_space_group_name_H-M 'C 1 2 1'
_symmetry_Int_Tables_number 5
_cell_length_a 9.4023
_cell_length_b 6.2970
_cell_length_c 4.1781
_cell_angle_alpha 90.00
_cell_angle_beta 116.22
_cell_angle_gamma 90.00
loop_
_symmetry_equiv_pos_as_xyz
'x,y,z'
'-x,y,-z'
'x+1/2,y+1/2,z'
'-x+1/2,y+1/2,-z'
loop_
_atom_site_label
_atom_site_type_symbol
_atom_site_fract_x
_atom_site_fract_y
_atom_site_fract_z
Li1 Li 0.0000 0.0000 0.0000
Ca1 Ca 0.2085 0.5368 0.2086
Pd1 Pd 0.0000 0.7463 0.5000
```

(3)
YScCdAg: relaxed, PBE.

Output
formation enthalpy at 0 K	-27	kJ/mol of atoms
calculated total energy	-4.424	eV/atom

The structure in CIF format:
```
data_YScCdAg
_chemical_formula_sum 'Y4 Sc4 Cd4 Ag4'
_symmetry_space_group_name_H-M 'F -4 3 m'
_symmetry_Int_Tables_number 216
_symmetry_space_group_name_Hall 'F -4 2 3'
_cell_length_a 7.1995
_cell_length_b 7.1995
_cell_length_c 7.1995
_cell_angle_alpha 90.00
_cell_angle_beta 90.00
_cell_angle_gamma 90.00
loop_
_atom_site_label
_atom_site_type_symbol
_atom_site_fract_x
_atom_site_fract_y
_atom_site_fract_z
Y1 Y 0.0000 0.0000 0.0000
Sc1 Sc 0.0000 0.0000 0.5000
Cd1 Cd 0.2500 0.2500 0.7500
Ag1 Ag 0.2500 0.2500 0.2500
```

(4)
BeNi3Bi: relaxed, PBE.

Output
formation enthalpy at 0 K	18	kJ/mol of atoms
energy above the lowest structure with this stoichiometry	0.000	eV per atom
calculated total energy	-4.805	eV/atom

The structure in CIF format:
```
data_BeNi3Bi
_chemical_formula_sum 'Be1 Ni3 Bi1'
_symmetry_space_group_name_H-M 'P m -3 m'
_symmetry_Int_Tables_number 221
_symmetry_space_group_name_Hall '-P 4 2 3'
_cell_length_a 4.0894
_cell_length_b 4.0894
_cell_length_c 4.0894
_cell_angle_alpha 90.00
_cell_angle_beta 90.00
_cell_angle_gamma 90.00
loop_
_atom_site_label
_atom_site_type_symbol
_atom_site_fract_x
_atom_site_fract_y
_atom_site_fract_z
Be1 Be 0.0000 0.0000 0.0000
Ni1 Ni 0.0000 0.0000 0.5000
Bi1 Bi 0.5000 0.5000 0.5000
```

(5)
BaCr3Ni: relaxed, PBE.

Output
formation enthalpy at 0 K	91	kJ/mol of atoms
energy above the lowest structure with this stoichiometry	0.000	eV per atom
calculated total energy	-6.375	eV/atom

The structure in CIF format:
```
data_BaCr3Ni
_chemical_formula_sum 'Ba1 Cr3 Ni1'
_symmetry_space_group_name_H-M 'P m -3 m'
_symmetry_Int_Tables_number 221
_symmetry_space_group_name_Hall '-P 4 2 3'
_cell_length_a 4.8455
_cell_length_b 4.8455
_cell_length_c 4.8455
_cell_angle_alpha 90.00
_cell_angle_beta 90.00
_cell_angle_gamma 90.00
loop_
_atom_site_label
_atom_site_type_symbol
_atom_site_fract_x
_atom_site_fract_y
_atom_site_fract_z
Ba1 Ba 0.0000 0.0000 0.0000
Cr1 Cr 0.0000 0.5000 0.5000
Ni1 Ni 0.5000 0.5000 0.5000
```

(6)
H7S2F2: relaxed, PBE.

Output
calculated total energy	-3.471	eV/atom

The structure in CIF format:
```
data_H7S2F2
_chemical_formula_sum 'H14 S4 F4'
_symmetry_space_group_name_H-M 'C 1 2/m 1'
_symmetry_Int_Tables_number 12
_cell_length_a 7.1870
_cell_length_b 8.6014
_cell_length_c 4.4960
_cell_angle_alpha 90.00
_cell_angle_beta 118.99
_cell_angle_gamma 90.00
loop_
_symmetry_equiv_pos_as_xyz
'x,y,z'
'-x,-y,-z'
'-x,y,-z'
'x,-y,z'
'x+1/2,y+1/2,z'
'-x+1/2,-y+1/2,-z'
'-x+1/2,y+1/2,-z'
'x+1/2,-y+1/2,z'
loop_
_atom_site_label
_atom_site_type_symbol
_atom_site_fract_x
_atom_site_fract_y
_atom_site_fract_z
H1 H 0.0000 0.0000 0.0000
H2 H 0.1276 0.1863 0.7496
H3 H 0.1461 0.5000 0.8272
S1 S 0.1770 0.0000 0.8663
F1 F 0.0000 0.2730 0.5000
```

(7)
LiSiH: relaxed, PBE.

Output
energy above the lowest structure with this stoichiometry	0.013	eV per atom
calculated total energy	-3.666	eV/atom

The structure in CIF format:
```
data_LiSiH
_chemical_formula_sum 'Li2 Si2 H2'
_symmetry_space_group_name_H-M 'P 1 m 1'
_symmetry_Int_Tables_number 6
_cell_length_a 4.4136
_cell_length_b 3.7392
_cell_length_c 5.2244
_cell_angle_alpha 90.00
_cell_angle_beta 113.97
_cell_angle_gamma 90.00
loop_
_symmetry_equiv_pos_as_xyz
'x,y,z'
'x,-y,z'
loop_
_atom_site_label
_atom_site_type_symbol
_atom_site_fract_x
_atom_site_fract_y
_atom_site_fract_z
Li1 Li 0.0000 0.0000 0.0000
Li2 Li 0.2369 0.5000 0.5451
Si1 Si 0.5991 0.5000 0.1470
Si2 Si 0.6430 0.0000 0.4387
H1 H 0.2394 0.5000 0.9155
H2 H 0.2960 0.0000 0.4666
```

(8)
Tm3Tl2AgF12: relaxed, PBE.

Output
formation energy without anion corrections	-3.2533	eV per atom
calculated total energy	-5.667	eV/atom

The structure in CIF format:
```
data_Tm3Tl2AgF12
_chemical_formula_sum 'Tm9 Tl6 Ag3 F36'
_symmetry_space_group_name_H-M 'R -3 m'
_symmetry_Int_Tables_number 166
_symmetry_space_group_name_Hall '-R 3 2"'
_cell_length_a 8.2795
_cell_length_b 8.2795
_cell_length_c 18.1835
_cell_angle_alpha 90.00
_cell_angle_beta 90.00
_cell_angle_gamma 120.00
loop_
_atom_site_label
_atom_site_type_symbol
_atom_site_fract_x
_atom_site_fract_y
_atom_site_fract_z
Tm1 Tm 0.0000 0.5000 0.0000
Tl1 Tl 0.0000 0.0000 0.1386
Ag1 Ag 0.0000 0.0000 0.5000
F1 F 0.0207 0.5103 0.8836
F2 F 0.0886 0.5443 0.3267
```

(9)
Al2ZnIn: relaxed, PBE.

Output
formation enthalpy at 0 K	22	kJ/mol of atoms
calculated total energy	-2.648	eV/atom

The structure in CIF format:
```
data_Al2ZnIn
_chemical_formula_sum 'Al8 Zn4 In4'
_symmetry_space_group_name_H-M 'F -4 3 m'
_symmetry_Int_Tables_number 216
_symmetry_space_group_name_Hall 'F -4 2 3'
_cell_length_a 6.7949
_cell_length_b 6.7949
_cell_length_c 6.7949
_cell_angle_alpha 90.00
_cell_angle_beta 90.00
_cell_angle_gamma 90.00
loop_
_atom_site_label
_atom_site_type_symbol
_atom_site_fract_x
_atom_site_fract_y
_atom_site_fract_z
Al1 Al 0.0000 0.0000 0.0000
Al2 Al 0.2500 0.2500 0.2500
Zn1 Zn 0.0000 0.0000 0.5000
In1 In 0.2500 0.2500 0.7500
```

(10)
Cr2NiRh: relaxed, PBE.

Output
formation enthalpy at 0 K	3	kJ/mol of atoms
calculated total energy	-8.066	eV/atom

The structure in CIF format:
```
data_Cr2NiRh
_chemical_formula_sum 'Cr4 Ni2 Rh2'
_symmetry_space_group_name_H-M 'C m m m'
_symmetry_Int_Tables_number 65
_symmetry_space_group_name_Hall '-C 2 2'
_cell_length_a 5.0639
_cell_length_b 7.4645
_cell_length_c 2.5707
_cell_angle_alpha 90.00
_cell_angle_beta 90.00
_cell_angle_gamma 90.00
loop_
_atom_site_label
_atom_site_type_symbol
_atom_site_fract_x
_atom_site_fract_y
_atom_site_fract_z
Cr1 Cr 0.2500 0.2500 0.0000
Ni1 Ni 0.0000 0.0000 0.5000
Rh1 Rh 0.0000 0.5000 0.5000
```

(11)
YZrSe2: relaxed, PBE.

Output
formation energy without anion corrections	-0.9675	eV per atom
energy above the lowest structure with this stoichiometry	0.489	eV per atom
calculated total energy	-6.463	eV/atom

The structure in CIF format:
```
data_YZrSe2
_chemical_formula_sum 'Y4 Zr4 Se8'
_symmetry_space_group_name_H-M 'I -4 2 d'
_symmetry_Int_Tables_number 122
_symmetry_space_group_name_Hall 'I -4 2bw'
_cell_length_a 6.1802
_cell_length_b 6.1802
_cell_length_c 12.6057
_cell_angle_alpha 90.00
_cell_angle_beta 90.00
_cell_angle_gamma 90.00
loop_
_atom_site_label
_atom_site_type_symbol
_atom_site_fract_x
_atom_site_fract_y
_atom_site_fract_z
Y1 Y 0.0000 0.0000 0.0000
Zr1 Zr 0.0000 0.0000 0.5000
Se1 Se 0.2315 0.2500 0.6250
```

(12)
HgMo2Os: relaxed, PBE.

Output
formation enthalpy at 0 K	41	kJ/mol of atoms
calculated total energy	-7.877	eV/atom

The structure in CIF format:
```
data_HgMo2Os
_chemical_formula_sum 'Hg1 Mo2 Os1'
_symmetry_space_group_name_H-M 'P m m 2'
_symmetry_Int_Tables_number 25
_cell_length_a 2.8660
_cell_length_b 4.5717
_cell_length_c 4.9677
_cell_angle_alpha 90.00
_cell_angle_beta 90.00
_cell_angle_gamma 90.00
loop_
_symmetry_equiv_pos_as_xyz
'x,y,z'
'-x,-y,z'
'-x,y,z'
'x,-y,z'
loop_
_atom_site_label
_atom_site_type_symbol
_atom_site_fract_x
_atom_site_fract_y
_atom_site_fract_z
Hg1 Hg 0.0000 0.0000 0.0000
Mo1 Mo 0.5000 0.0000 0.4986
Mo2 Mo 0.5000 0.5000 0.8119
Os1 Os 0.0000 0.5000 0.3385
```